(1)
4
Lattice="5.2279 0.0002 0.0000 0.9243 5.1455 0.0000 -3.0761 -2.5729 3.3539" Properties=species:S:1:pos:R:3 comment="MnCrPb2, relaxed, DFT PBE-GGA" delta_e_f_ev_per_atom=0.57 e_above_lowest_polymorph_mev_per_atom=252.5 volume_a3_per_atom=22.6 n_ef_per_ev_fu=2.44 pbc="T T T"
Cr 0.4622 2.5728 1.6770
Mn 2.6139 0.0001 1.6770
Pb 0.0000 0.0000 0.0000
Pb 3.0761 2.5729 0.0000

=====

(2)
12
Lattice="4.3178 0.0000 0.0000 0.0000 8.6521 0.3613 -2.1589 -2.4319 9.0510" Properties=species:S:1:pos:R:3 comment="Ac6P3S2N, relaxed, DFT PBE-GGA" e_tot_ev_per_atom=-6.366 volume_a3_per_atom=28.5 n_ef_per_ev_fu=3.43 pbc="T T T"
Ac 0.0000 6.3364 6.5572
Ac 2.1589 4.2871 3.1901
Ac 2.1589 -0.1161 2.8551
Ac 2.1589 -0.4486 9.0999
Ac 0.0000 6.6688 0.3124
Ac 0.0000 1.9332 6.2222
P 2.1589 4.3261 0.1806
P 2.1589 -0.1849 6.0437
P 0.0000 6.4052 3.3686
S 2.1589 4.1397 6.2884
S 0.0000 2.0806 3.1238
N 2.1589 0.0000 0.0000

=====

(3)
5
Lattice="5.0064 0.0000 0.0000 0.0000 5.0786 0.0000 0.0000 0.0000 5.0064" Properties=species:S:1:pos:R:3 comment="Hf2NiHgPt, relaxed, DFT PBE-GGA" delta_e_f_ev_per_atom=0.68 volume_a3_per_atom=25.5 n_ef_per_ev_fu=5.91 pbc="T T T"
Ni 2.5032 2.5393 2.5032
Hf 0.0000 0.0000 2.5032
Hf 2.5032 0.0000 0.0000
Hg 0.0000 2.5393 0.0000
Pt 0.0000 0.0000 0.0000

=====

(4)
4
Lattice="-3.2255 -2.2699 -0.7188 -1.4918 -2.3376 2.8954 -7.1762 5.5338 3.5460" Properties=species:S:1:pos:R:3 comment="DyY2Sb, relaxed, DFT PBE-GGA" e_above_lowest_polymorph_mev_per_atom=227.8 volume_a3_per_atom=32.9 n_ef_per_ev_fu=4.16 pbc="T T T"
Dy -5.9396 0.4542 2.8577
Y -6.0351 4.0942 2.9716
Y -2.7130 -0.0969 1.2996
Sb -3.1524 -3.0621 1.4549

=====

Question: Number 2 is which compound?
Answer: Ac6P3S2N